Record 1
This record from Alexandria describes a relaxed structure of Sm2Th3P4. The functional is GGA-PBE.

a = 7.5529 Å, b = 7.5529 Å, c = 8.6788 Å
α = 90.22°, β = 90.22°, γ = 81.13°
Positions (direct):
Sm1 0.0326 0.6946 0.8768
Sm2 0.3054 0.9674 0.6232
Sm3 0.6946 0.0326 0.3768
Sm4 0.9674 0.3054 0.1232
Th1 0.1193 0.8807 0.2500
Th2 0.2616 0.4719 0.4507
Th3 0.4719 0.2616 0.9507
Th4 0.5281 0.7384 0.0493
Th5 0.7384 0.5281 0.5493
Th6 0.8807 0.1193 0.7500
P1 0.0046 0.2212 0.4446
P2 0.2212 0.0046 0.9446
P3 0.2414 0.5267 0.1196
P4 0.4733 0.7586 0.3804
P5 0.5267 0.2414 0.6196
P6 0.7586 0.4733 0.8804
P7 0.7788 0.9954 0.0554
P8 0.9954 0.7788 0.5554

Values from the calculation:
The total energy comes out at -127.18 eV for the cell shown.

=====

Record 2
This record from Alexandria describes a relaxed structure of SrRu2Cl. The functional is GGA-PBE.

a = 3.0218 Å, b = 5.3726 Å, c = 5.4398 Å
α = 90.00°, β = 90.00°, γ = 90.00°
Positions (direct):
Sr1 0.0000 0.0000 0.0000
Ru1 0.5000 0.5000 0.2056
Ru2 0.5000 0.5000 0.7944
Cl1 0.0000 0.0000 0.5000

Values from the calculation:
The formation energy without anion corrections comes out at 2.46 eV per formula unit. As for the relative energy among the computed polymorphs: 723 meV per atom.

=====

Record 3
This record from Alexandria describes a relaxed structure of Ac2TaVN5. The functional is GGA-PBE.

a = 7.5692 Å, b = 7.5692 Å, c = 10.7082 Å
α = 90.00°, β = 90.00°, γ = 153.90°
Positions (direct):
Ac1 0.1182 0.8818 0.5000
Ac2 0.1346 0.8654 0.1322
Ac3 0.8654 0.1346 0.6322
Ac4 0.8818 0.1182 0.0000
Ta1 0.2077 0.7923 0.8400
Ta2 0.7923 0.2077 0.3400
V1 0.4449 0.5551 0.2615
V2 0.5551 0.4449 0.7615
N1 0.0463 0.9537 0.8387
N2 0.2954 0.7046 0.4653
N3 0.3227 0.6773 0.2059
N4 0.3377 0.6623 0.8222
N5 0.4989 0.5011 0.1154
N6 0.5011 0.4989 0.6154
N7 0.6623 0.3377 0.3222
N8 0.6773 0.3227 0.7059
N9 0.7046 0.2954 0.9653
N10 0.9537 0.0463 0.3387

Values from the calculation:
The formation energy without anion corrections comes out at -10.39 eV per formula unit.

=====

Record 4
This record from Alexandria describes a relaxed structure of MgFePt2. The functional is GGA-PBE.

a = 2.7999 Å, b = 2.7999 Å, c = 7.7614 Å
α = 90.00°, β = 90.00°, γ = 90.00°
Positions (direct):
Mg1 0.0000 0.0000 0.0000
Fe1 0.5000 0.5000 0.7371
Pt1 0.0000 0.0000 0.5148
Pt2 0.5000 0.5000 0.2424

Values from the calculation:
The total energy comes out at -23.07 eV for the cell shown.

=====

Summary of theoretical density in g cm⁻³
7.61, 6.11, 9.30, 12.84
(order as listed above)